No. 1
# V5ZnFe4 | Alexandria via LeMat-Bulk | GGA-PBE | relaxed
data_V5ZnFe4
_chemical_formula_sum 'V5 Zn1 Fe4'
_cell_length_a 2.825
_cell_length_b 2.825
_cell_length_c 15.414
_cell_angle_alpha 90.00
_cell_angle_beta 90.00
_cell_angle_gamma 90.00
_space_group_name_H-M_alt 'P 1'
_space_group_IT_number 1
_space_group_name_Hall 'P 1'
loop_
_atom_site_label
_atom_site_type_symbol
_atom_site_fract_x
_atom_site_fract_y
_atom_site_fract_z
V1 V 0.500 0.500 0.117
V2 V 0.500 0.500 0.308
V3 V 0.500 0.500 0.500
V4 V 0.500 0.500 0.692
V5 V 0.500 0.500 0.883
Zn1 Zn 0.000 0.000 0.000
Fe1 Fe 0.000 0.000 0.217
Fe2 Fe 0.000 0.000 0.402
Fe3 Fe 0.000 0.000 0.598
Fe4 Fe 0.000 0.000 0.783
# * energy relative to the elements: -0.07 eV/atom

=====

No. 2
# CrCd3In | Alexandria via LeMat-Bulk | GGA-PBE | relaxed
data_CrCd3In
_chemical_formula_sum 'Cr1 Cd3 In1'
_cell_length_a 5.316
_cell_length_b 5.316
_cell_length_c 5.316
_cell_angle_alpha 90.00
_cell_angle_beta 90.00
_cell_angle_gamma 90.00
_space_group_name_H-M_alt 'P 1'
_space_group_IT_number 1
_space_group_name_Hall 'P 1'
loop_
_atom_site_label
_atom_site_type_symbol
_atom_site_fract_x
_atom_site_fract_y
_atom_site_fract_z
Cr1 Cr 0.000 0.000 0.000
Cd1 Cd 0.000 0.500 0.000
Cd2 Cd 0.000 0.000 0.500
Cd3 Cd 0.500 0.000 0.000
In1 In 0.500 0.500 0.500
# * excess energy over the best structure of this formula in the dataset: 0 meV/atom
# * energy relative to the elements: 0.57 eV/atom

=====

No. 3
# Tl2AuBr5 | Alexandria via LeMat-Bulk | GGA-PBE | relaxed
data_Tl2AuBr5
_chemical_formula_sum 'Tl8 Au4 Br20'
_cell_length_a 9.193
_cell_length_b 10.852
_cell_length_c 12.425
_cell_angle_alpha 90.00
_cell_angle_beta 95.73
_cell_angle_gamma 90.00
_space_group_name_H-M_alt 'P 1'
_space_group_IT_number 1
_space_group_name_Hall 'P 1'
loop_
_atom_site_label
_atom_site_type_symbol
_atom_site_fract_x
_atom_site_fract_y
_atom_site_fract_z
Tl1 Tl 0.756 0.901 0.048
Tl2 Tl 0.256 0.599 0.048
Tl3 Tl 0.489 0.944 0.349
Tl4 Tl 0.989 0.556 0.349
Tl5 Tl 0.011 0.444 0.651
Tl6 Tl 0.511 0.056 0.651
Tl7 Tl 0.744 0.401 0.952
Tl8 Tl 0.244 0.099 0.952
Au1 Au 0.564 0.463 0.241
Au2 Au 0.064 0.037 0.241
Au3 Au 0.936 0.963 0.759
Au4 Au 0.436 0.537 0.759
Br1 Br 0.958 0.164 0.092
Br2 Br 0.907 0.608 0.134
Br3 Br 0.458 0.336 0.092
Br4 Br 0.407 0.892 0.134
Br5 Br 0.770 0.963 0.312
Br6 Br 0.968 0.324 0.445
Br7 Br 0.270 0.537 0.312
Br8 Br 0.688 0.592 0.381
Br9 Br 0.468 0.176 0.445
Br10 Br 0.188 0.908 0.381
Br11 Br 0.812 0.092 0.619
Br12 Br 0.532 0.824 0.555
Br13 Br 0.312 0.408 0.619
Br14 Br 0.730 0.463 0.688
Br15 Br 0.032 0.676 0.555
Br16 Br 0.230 0.037 0.688
Br17 Br 0.593 0.108 0.866
Br18 Br 0.542 0.664 0.908
Br19 Br 0.093 0.392 0.866
Br20 Br 0.042 0.836 0.908
# * excess energy over the best structure of this formula in the dataset: 60 meV/atom
# * uncorrected formation energy: -0.4517 eV/atom